Entry 1:
Density functional theory data (PBE) for a geometry-optimized MgZn2Se structure.

a = 6.134 Å, b = 6.134 Å, c = 6.134 Å
α = 44.50°, β = 44.50°, γ = 44.50°
Atoms (fractional coordinates):
Zn 0.145 0.145 0.145
Zn 0.855 0.855 0.855
Se 0.000 0.000 0.000
Mg 0.500 0.500 0.500

Properties
**Total DFT energy (no corrections)**: -1.833 eV per atom
**Total magnetization**: 0.0 μB/cell
**Density**: 3.77 Mg/m³
**DOS at the Fermi energy**: 1.94 states/eV per cell

---

Entry 2:
Density functional theory data (PBE) for a geometry-optimized MgZn2Se structure.

a = 3.781 Å, b = 3.781 Å, c = 5.306 Å
α = 90.00°, β = 90.00°, γ = 90.00°
Atoms (fractional coordinates):
Zn 0.000 0.000 0.497
Zn 0.000 0.000 0.003
Mg 0.500 0.500 0.250
Se 0.500 0.500 0.750

Properties
**Total DFT energy (no corrections)**: -1.994 eV per atom
**Total magnetization**: 0.0 μB/cell
**Density**: 5.12 Mg/m³
**DOS at the Fermi energy**: 0.87 states/eV per cell

---

Entry 3:
Density functional theory data (PBE) for a geometry-optimized MgZn2Se structure.

a = 4.837 Å, b = 4.837 Å, c = 3.862 Å
α = 90.00°, β = 90.00°, γ = 116.99°
Atoms (fractional coordinates):
Zn 0.000 0.000 0.000
Zn 0.500 0.500 0.000
Mg 0.500 0.000 0.500
Se 0.000 0.500 0.500

Properties
**Total DFT energy (no corrections)**: -2.094 eV per atom
**Total magnetization**: 0.0 μB/cell
**Density**: 4.83 Mg/m³
**DOS at the Fermi energy**: 0.40 states/eV per cell

---

Entry 4:
Density functional theory data (PBE) for a geometry-optimized Mg4ZnSe5 structure.

a = 4.199 Å, b = 4.199 Å, c = 17.373 Å
α = 83.06°, β = 83.06°, γ = 60.00°
Atoms (fractional coordinates):
Se 0.399 0.399 0.803
Se 0.800 0.800 0.600
Se 0.201 0.201 0.398
Se 0.602 0.602 0.195
Se 0.998 0.998 0.005
Zn 0.950 0.950 0.149
Mg 0.349 0.349 0.954
Mg 0.551 0.551 0.346
Mg 0.150 0.150 0.549
Mg 0.750 0.750 0.751

Properties
**Total DFT energy (no corrections)**: -3.648 eV per atom
**Total magnetization**: 0.0 μB/cell
**Density**: 3.52 Mg/m³
**DOS at the Fermi energy**: 0.00 states/eV per cell

---

Entry 5:
Density functional theory data (PBE) for a geometry-optimized Mg2ZnSe structure.

a = 3.749 Å, b = 3.749 Å, c = 7.526 Å
α = 75.75°, β = 75.75°, γ = 59.77°
Atoms (fractional coordinates):
Mg 0.008 0.008 0.975
Mg 0.492 0.492 0.525
Se 0.750 0.750 0.750
Zn 0.250 0.250 0.250

Properties
**Energy above the lowest structure with this stoichiometry**: 0.333 eV per formula unit
**Total DFT energy (no corrections)**: -2.390 eV per atom
**Total magnetization**: 0.0 μB/cell
**Density**: 3.66 Mg/m³
**DOS at the Fermi energy**: 1.96 states/eV per cell

---

Entry 6:
Density functional theory data (PBE) for a geometry-optimized MgZn2Se structure.

a = 3.954 Å, b = 3.954 Å, c = 12.070 Å
α = 90.00°, β = 90.00°, γ = 90.00°
Atoms (fractional coordinates):
Zn 0.000 0.500 0.644
Zn 0.500 0.500 0.000
Zn 0.500 0.000 0.356
Zn 0.000 0.000 0.000
Se 0.500 0.000 0.135
Se 0.000 0.500 0.865
Mg 0.000 0.500 0.412
Mg 0.500 0.000 0.588

Properties
**Total DFT energy (no corrections)**: -2.000 eV per atom
**Total magnetization**: 0.0 μB/cell
**Density**: 4.12 Mg/m³
**DOS at the Fermi energy**: 2.58 states/eV per cell

---

Entry 7:
Density functional theory data (PBE) for a geometry-optimized MgZn3Se3 structure.

a = 9.692 Å, b = 11.144 Å, c = 4.099 Å
α = 90.00°, β = 90.00°, γ = 121.87°
Atoms (fractional coordinates):
Mg 0.608 0.272 0.750
Mg 0.392 0.728 0.250
Se 0.160 0.466 0.250
Se 0.245 0.860 0.250
Se 0.840 0.534 0.750
Se 0.679 0.791 0.250
Se 0.321 0.209 0.750
Se 0.755 0.140 0.750
Zn 0.854 0.061 0.250
Zn 0.985 0.385 0.750
Zn 0.146 0.939 0.750
Zn 0.015 0.615 0.250
Zn 0.856 0.828 0.750
Zn 0.144 0.172 0.250

Properties
**Energy above the lowest structure with this stoichiometry**: 0.399 eV per formula unit
**Total DFT energy (no corrections)**: -2.790 eV per atom
**Total magnetization**: 0.0 μB/cell
**Density**: 4.04 Mg/m³

---

Entry 8:
Density functional theory data (PBE) for a geometry-optimized MgZn2Se structure.

a = 3.156 Å, b = 3.156 Å, c = 7.736 Å
α = 90.00°, β = 90.00°, γ = 90.00°
Atoms (fractional coordinates):
Se 0.500 0.500 0.750
Mg 0.500 0.500 0.250
Zn 0.000 0.000 0.508
Zn 0.000 0.000 0.992

Properties
**Total DFT energy (no corrections)**: -1.847 eV per atom
**Total magnetization**: 0.0 μB/cell
**Density**: 5.04 Mg/m³
**DOS at the Fermi energy**: 2.75 states/eV per cell

---

Entry 9:
Density functional theory data (PBE) for a geometry-optimized MgZnSe structure.

a = 4.271 Å, b = 4.916 Å, c = 16.278 Å
α = 90.00°, β = 90.00°, γ = 90.00°
Atoms (fractional coordinates):
Se 0.750 0.750 0.579
Se 0.250 0.250 0.421
Se 0.750 0.750 0.921
Se 0.250 0.250 0.079
Mg 0.250 0.750 0.016
Mg 0.750 0.250 0.516
Mg 0.750 0.250 0.984
Mg 0.250 0.750 0.484
Zn 0.250 0.250 0.833
Zn 0.750 0.750 0.167
Zn 0.250 0.250 0.667
Zn 0.750 0.750 0.333

Properties
**Energy above the lowest structure with this stoichiometry**: 0.507 eV per formula unit
**Total DFT energy (no corrections)**: -2.558 eV per atom
**Total magnetization**: 0.0 μB/cell
**Density**: 3.28 Mg/m³

---

Entry 10:
Density functional theory data (PBE) for a geometry-optimized Mg2ZnSe structure.

a = 5.499 Å, b = 5.499 Å, c = 7.901 Å
α = 90.00°, β = 90.00°, γ = 119.28°
Atoms (fractional coordinates):
Mg 0.250 0.750 0.829
Mg 0.250 0.250 0.500
Mg 0.750 0.750 0.500
Mg 0.750 0.250 0.171
Zn 0.250 0.750 0.484
Zn 0.750 0.250 0.516
Se 0.250 0.750 0.159
Se 0.750 0.250 0.841

Properties
**Energy above the lowest structure with this stoichiometry**: 1.042 eV per formula unit
**Total DFT energy (no corrections)**: -2.213 eV per atom
**Total magnetization**: 0.0 μB/cell
**Density**: 3.07 Mg/m³
**DOS at the Fermi energy**: 3.89 states/eV per cell

---

Entry 11:
Density functional theory data (PBE) for a geometry-optimized Mg4ZnSe structure.

a = 3.458 Å, b = 7.610 Å, c = 10.330 Å
α = 90.00°, β = 90.00°, γ = 90.00°
Atoms (fractional coordinates):
Mg 0.500 0.327 0.411
Mg 0.500 0.212 0.750
Mg 0.500 0.327 0.089
Mg 0.000 0.000 0.000
Mg 0.000 0.000 0.500
Mg 0.500 0.788 0.250
Mg 0.500 0.673 0.911
Mg 0.500 0.673 0.589
Se 0.000 0.490 0.750
Se 0.000 0.510 0.250
Zn 0.000 0.093 0.250
Zn 0.000 0.907 0.750

Properties
**Energy above the lowest structure with this stoichiometry**: 0.185 eV per formula unit
**Total DFT energy (no corrections)**: -2.041 eV per atom
**Total magnetization**: 0.0 μB/cell
**Density**: 2.95 Mg/m³
**DOS at the Fermi energy**: 3.67 states/eV per cell

---

Entry 12:
Density functional theory data (PBE) for a geometry-optimized MgZnSe structure.

a = 5.107 Å, b = 5.107 Å, c = 5.819 Å
α = 90.00°, β = 90.00°, γ = 90.00°
Atoms (fractional coordinates):
Mg 0.000 0.500 0.643
Mg 0.500 0.000 0.357
Se 0.500 0.500 0.500
Se 0.000 0.000 0.500
Zn 0.000 0.500 0.113
Zn 0.500 0.000 0.887

Properties
**Energy above the lowest structure with this stoichiometry**: 0.724 eV per formula unit
**Total DFT energy (no corrections)**: -2.486 eV per atom
**Total magnetization**: 0.0 μB/cell
**Density**: 3.69 Mg/m³
**DOS at the Fermi energy**: 0.01 states/eV per cell